The following is a DFT calculation (PBE) of crystalline TmTiCuOs at its relaxed geometry.

extended XYZ file:
```
4
Lattice="0.0000 3.2405 3.2405 3.2405 0.0000 3.2405 3.2405 3.2405 0.0000" Properties=species:S:1:pos:R:3 pbc="T T T"
Tm 0.0000 0.0000 0.0000
Ti 3.2405 3.2405 3.2405
Cu 4.8608 4.8608 4.8608
Os 1.6203 1.6203 1.6203
```

Formation enthalpy at 0 K   -0.96 eV/f.u.